SmPaIrRu: relaxed, PBE.

CIF file:
```
data_SmPaIrRu
_cell_length_a 4.899
_cell_length_b 4.899
_cell_length_c 4.899
_cell_angle_alpha 60.00
_cell_angle_beta 60.00
_cell_angle_gamma 60.00
_space_group_name_H-M_alt 'P 1'
_space_group_IT_number 1
_space_group_name_Hall 'P 1'
loop_
_atom_site_label
_atom_site_fract_x
_atom_site_fract_y
_atom_site_fract_z
Pa1 0.000 0.000 0.000
Ru1 0.250 0.250 0.250
Sm1 0.500 0.500 0.500
Ir1 0.750 0.750 0.750
```

The density of states at the Fermi level comes out at 4.06 states/eV/cell. The energy relative to the elements comes out at -0.45 eV per atom.


YCu2F: relaxed, PBE.

CIF file:
```
data_YCu2F
_cell_length_a 7.879
_cell_length_b 7.879
_cell_length_c 6.019
_cell_angle_alpha 49.12
_cell_angle_beta 49.12
_cell_angle_gamma 90.00
_space_group_name_H-M_alt 'P 1'
_space_group_IT_number 1
_space_group_name_Hall 'P 1'
loop_
_atom_site_label
_atom_site_fract_x
_atom_site_fract_y
_atom_site_fract_z
Y1 0.750 0.250 0.500
Y2 0.000 0.000 0.000
F1 0.250 0.750 0.500
F2 0.500 0.500 0.000
Cu1 0.375 0.399 0.750
Cu2 0.149 0.625 0.250
Cu3 0.875 0.851 0.750
Cu4 0.601 0.125 0.250
```

The density of states at the Fermi level comes out at 1.70 states/eV/cell. As for the energy relative to the lowest polymorph listed for this composition: 0.000 eV/atom. For the uncorrected formation energy, the calculation gives -0.97 eV/atom.


PmBiN: relaxed, PBE.

CIF file:
```
data_PmBiN
_cell_length_a 3.514
_cell_length_b 3.514
_cell_length_c 6.560
_cell_angle_alpha 105.54
_cell_angle_beta 105.54
_cell_angle_gamma 90.00
_space_group_name_H-M_alt 'P 1'
_space_group_IT_number 1
_space_group_name_Hall 'P 1'
loop_
_atom_site_label
_atom_site_fract_x
_atom_site_fract_y
_atom_site_fract_z
Pm1 0.732 0.732 0.465
Bi1 0.034 0.034 0.068
N1 0.234 0.234 0.467
```

The density of states at the Fermi level comes out at 0.67 states/eV/cell. As for the energy relative to the lowest polymorph listed for this composition: 0.127 eV/atom. For the uncorrected formation energy, the calculation gives -0.58 eV/atom.


Li7LaZn5: relaxed, PBE.

CIF file:
```
data_Li7LaZn5
_cell_length_a 5.228
_cell_length_b 7.141
_cell_length_c 7.141
_cell_angle_alpha 81.72
_cell_angle_beta 68.53
_cell_angle_gamma 68.53
_space_group_name_H-M_alt 'P 1'
_space_group_IT_number 1
_space_group_name_Hall 'P 1'
loop_
_atom_site_label
_atom_site_fract_x
_atom_site_fract_y
_atom_site_fract_z
Li1 0.270 0.230 0.230
Li2 0.993 0.361 0.654
Li3 0.659 0.341 0.341
Li4 0.502 0.220 0.777
Li5 0.993 0.654 0.361
Li6 0.502 0.777 0.220
Li7 0.355 0.645 0.645
Zn1 0.717 0.783 0.783
Zn2 0.499 0.999 0.502
Zn3 0.000 0.999 0.502
Zn4 0.499 0.502 0.999
Zn5 0.000 0.502 0.999
La1 0.011 0.989 0.989
```

The density of states at the Fermi level comes out at 6.03 states/eV/cell. The energy relative to the elements comes out at -0.17 eV per atom.


KTaIr2: relaxed, PBE.

CIF file:
```
data_KTaIr2
_cell_length_a 5.086
_cell_length_b 6.967
_cell_length_c 2.839
_cell_angle_alpha 65.91
_cell_angle_beta 90.06
_cell_angle_gamma 124.85
_space_group_name_H-M_alt 'P 1'
_space_group_IT_number 1
_space_group_name_Hall 'P 1'
loop_
_atom_site_label
_atom_site_fract_x
_atom_site_fract_y
_atom_site_fract_z
K1 0.500 0.500 0.000
Ir1 0.000 0.000 0.000
Ir2 0.000 0.500 0.500
Ta1 0.500 0.000 0.500
```

The density of states at the Fermi level comes out at 4.02 states/eV/cell. As for the energy relative to the lowest polymorph listed for this composition: 0.710 eV/atom. The energy relative to the elements comes out at 0.67 eV per atom.


LaPrAlAg: relaxed, PBE.

CIF file:
```
data_LaPrAlAg
_cell_length_a 3.714
_cell_length_b 3.714
_cell_length_c 7.899
_cell_angle_alpha 90.00
_cell_angle_beta 90.00
_cell_angle_gamma 90.00
_space_group_name_H-M_alt 'P 1'
_space_group_IT_number 1
_space_group_name_Hall 'P 1'
loop_
_atom_site_label
_atom_site_fract_x
_atom_site_fract_y
_atom_site_fract_z
Ag1 0.500 0.500 0.599
La1 0.000 0.000 0.864
Al1 0.500 0.500 0.111
Pr1 0.000 0.000 0.353
```

The density of states at the Fermi level comes out at 4.12 states/eV/cell. As for the energy relative to the lowest polymorph listed for this composition: 0.000 eV/atom. The energy relative to the elements comes out at -0.31 eV per atom.